Record 1
Entry from the Open Quantum Materials Database: a relaxed CdBNO crystal (PBE).

Summary:
- Uncorrected energy: -4.891 eV/atom
- Crystal system: tetragonal

a b c (Å): 3.411 3.411 7.999
angles (deg): 90.00 90.00 90.00
Space group P4/nmm (No. 129, origin choice 2)
Symmetry-distinct sites (fractional):
Cd (0.250, 0.250, 0.168) (multiplicity 2)
B (0.250, 0.750, 0.500) (multiplicity 2)
N (0.250, 0.250, 0.458) (multiplicity 2)
O (0.250, 0.750, 0.000) (multiplicity 2)



Record 2
Entry from the Open Quantum Materials Database: a relaxed Nb4GaSN2 crystal (PBE).

Summary:
- Uncorrected energy: -8.757 eV/atom
- Crystal system: hexagonal
- Magnetic moment: 0.001 μB per atom

a b c (Å): 3.0763 3.0763 13.3520
angles (deg): 90.00 90.00 120.00
Space group P-6m2 (No. 187)
Symmetry-distinct sites (fractional):
Nb (0.0000, 0.0000, 0.1358) (multiplicity 2)
Nb (0.3333, 0.6667, 0.3358) (multiplicity 2)
Ga (0.0000, 0.0000, 0.5000) (multiplicity 1)
S (0.3333, 0.6667, 0.0000) (multiplicity 1)
N (0.6667, 0.3333, 0.2377) (multiplicity 2)



Record 3
Entry from the Open Quantum Materials Database: a relaxed SrHfTh crystal (PBE).

Summary:
- Uncorrected energy: -4.796 eV/atom
- Crystal system: cubic
- Magnetic moment: 0.011 μB per atom

a b c (Å): 7.612 7.612 7.612
angles (deg): 90.00 90.00 90.00
Space group F-43m (No. 216)
Symmetry-distinct sites (fractional):
Sr (0.000, 0.000, 0.000) (multiplicity 4)
Hf (0.250, 0.250, 0.250) (multiplicity 4)
Th (0.250, 0.250, 0.750) (multiplicity 4)



Record 4
Entry from the Open Quantum Materials Database: a relaxed BaAgMo2 crystal (PBE).

Summary:
- Uncorrected energy: -5.497 eV/atom
- Crystal system: cubic
- Magnetic moment: 0.174 μB per atom

a b c (Å): 6.987 6.987 6.987
angles (deg): 90.00 90.00 90.00
Space group F-43m (No. 216)
Symmetry-distinct sites (fractional):
Ba (0.000, 0.000, 0.000) (multiplicity 4)
Ag (0.250, 0.250, 0.250) (multiplicity 4)
Mo (0.000, 0.000, 0.500) (multiplicity 4)
Mo (0.250, 0.250, 0.750) (multiplicity 4)



Record 5
Entry from the Open Quantum Materials Database: a relaxed NiAgSnHg crystal (PBE).

Summary:
- Uncorrected energy: -2.950 eV/atom
- Crystal system: cubic
- Magnetic moment: 0.000 μB per atom

a b c (Å): 6.749 6.749 6.749
angles (deg): 90.00 90.00 90.00
Space group F-43m (No. 216)
Symmetry-distinct sites (fractional):
Ni (0.000, 0.000, 0.000) (multiplicity 4)
Ag (0.250, 0.250, 0.250) (multiplicity 4)
Sn (0.250, 0.250, 0.750) (multiplicity 4)
Hg (0.000, 0.000, 0.500) (multiplicity 4)



Record 6
Entry from the Open Quantum Materials Database: a relaxed BeAlFeAg crystal (PBE).

Summary:
- Uncorrected energy: -4.581 eV/atom
- Crystal system: cubic
- Magnetic moment: 0.357 μB per atom

a b c (Å): 5.875 5.875 5.875
angles (deg): 90.00 90.00 90.00
Space group F-43m (No. 216)
Symmetry-distinct sites (fractional):
Be (0.000, 0.000, 0.000) (multiplicity 4)
Al (0.000, 0.000, 0.500) (multiplicity 4)
Fe (0.250, 0.250, 0.750) (multiplicity 4)
Ag (0.250, 0.250, 0.250) (multiplicity 4)